1.
Below is a relaxed structure of KSn2O4, with properties calculated at the PBE level.

Cell lengths 6.8756, 6.8756, 6.8770 Å; angles 119.99, 119.99, 90.00 degrees
Last column: nearest neighbours and their distance in Å.
Positions (direct):
1 O 0.3507 0.6494 0.2989  3 Sn 2.22
2 O 0.3506 0.0518 0.7011  3 Sn 2.22
3 Sn 0.6250 0.8750 0.7500  6 O 2.22
4 O 0.8993 0.1006 0.2011  3 Sn 2.22
5 O 0.3505 0.6493 0.7011  3 Sn 2.22
6 O 0.3018 0.1005 0.2011  3 Sn 2.22
7 K 0.5000 0.5000 0.0000  4 O 2.52
8 Sn 0.1250 0.8750 0.2500  6 O 2.22
9 K 0.7500 0.2500 0.5000  4 O 2.52
10 Sn 0.1250 0.3750 0.2500  6 O 2.22
11 O 0.9482 0.6495 0.2989  3 Sn 2.22
12 Sn 0.1250 0.8750 0.7500  6 O 2.22
13 O 0.8994 0.6982 0.7989  3 Sn 2.22
14 O 0.8995 0.1007 0.7989  3 Sn 2.22

DFT total energy, eV per formula unit: -39.3
Raw formation energy, eV/f.u.: -10.4

---

2.
Below is a relaxed structure of Tl3BSe, with properties calculated at the PBE level.

Cell lengths 6.0208, 6.0208, 6.0208 Å; angles 90.00, 90.00, 90.00 degrees
Last column: nearest neighbours and their distance in Å.
Positions (direct):
1 B 0.5000 0.5000 0.5000  12 Tl 4.26
2 Tl 0.5000 0.0000 0.0000  2 Se 3.01
3 Tl 0.0000 0.0000 0.5000  2 Se 3.01
4 Tl 0.0000 0.5000 0.0000  2 Se 3.01
5 Se 0.0000 0.0000 0.0000  6 Tl 3.01

DFT total energy, eV per formula unit: -11.4
Raw formation energy, eV/f.u.: 5.9

---

3.
Below is a relaxed structure of Pr8In2Sn, with properties calculated at the PBE level.

Cell lengths 5.0693, 8.3593, 9.2200 Å; angles 109.86, 105.96, 90.00 degrees
Last column: nearest neighbours and their distance in Å.
Positions (direct):
1 Pr 0.4027 0.5509 0.8053  3 In 3.40-3.56, 7 Pr 3.52-3.81, 1 Sn 3.53
2 Pr 0.9468 0.2646 0.8936  1 In 3.34, 7 Pr 3.40-3.71, 2 Sn 3.70
3 Pr 0.5973 0.4491 0.1947  3 In 3.40-3.56, 7 Pr 3.52-3.81, 1 Sn 3.53
4 In 0.2230 0.6487 0.4460  8 Pr 3.29-3.56
5 Pr 0.3211 0.0642 0.6421  1 In 3.29, 1 Sn 3.40, 6 Pr 3.40-3.60
6 Pr 0.8574 0.7947 0.7148  3 In 3.40-3.47, 7 Pr 3.52-3.75, 2 Sn 3.56
7 Pr 0.1426 0.2053 0.2852  3 In 3.40-3.47, 7 Pr 3.52-3.75, 2 Sn 3.56
8 Pr 0.0532 0.7354 0.1064  1 In 3.34, 7 Pr 3.40-3.71, 2 Sn 3.70
9 Pr 0.6789 0.9358 0.3579  1 In 3.29, 1 Sn 3.40, 6 Pr 3.40-3.60
10 Sn 0.5000 0.0000 0.0000  12 Pr 3.40-3.70
11 In 0.7770 0.3513 0.5540  8 Pr 3.29-3.56

DFT formation energy, eV/f.u.: -3.4
DFT total energy, eV per formula unit: -51.2

---

4.
Below is a relaxed structure of Ti2Tl2Sb, with properties calculated at the PBE level.

Cell lengths 7.0960, 7.0960, 4.4729 Å; angles 90.00, 90.00, 90.00 degrees
Last column: nearest neighbours and their distance in Å.
Positions (direct):
1 Ti 0.8530 0.6470 0.0000  2 Sb 2.71, 1 Ti 2.95, 2 Tl 2.96
2 Sb 0.0000 0.0000 0.0000  4 Ti 2.71
3 Ti 0.1470 0.3530 0.0000  2 Sb 2.71, 1 Ti 2.95, 2 Tl 2.96
4 Ti 0.3530 0.8530 0.0000  2 Sb 2.71, 1 Ti 2.95, 2 Tl 2.96
5 Tl 0.1601 0.6601 0.5000  6 Ti 2.96-3.12, 1 Tl 3.21
6 Ti 0.6470 0.1470 0.0000  2 Sb 2.71, 1 Ti 2.95, 2 Tl 2.96
7 Sb 0.5000 0.5000 0.0000  4 Ti 2.71
8 Tl 0.3399 0.1601 0.5000  6 Ti 2.96-3.12, 1 Tl 3.21
9 Tl 0.6601 0.8399 0.5000  6 Ti 2.96-3.12, 1 Tl 3.21
10 Tl 0.8399 0.3399 0.5000  6 Ti 2.96-3.12, 1 Tl 3.21

DFT total energy, eV per formula unit: -24.8
Raw formation energy, eV/f.u.: -0.1